Tm4HgPdRu2 | GGA-PBE | optimized geometry

Values from the calculation:
SG   No. 166
Total moment   0.0 μB/cell
VASP energy   -46.45 eV per cell

Structure (POSCAR):
```
Tm4HgPdRu2
1.0
2.441 1.409 7.987
-2.441 1.409 7.987
0.000 -2.819 7.987
Tm Hg Pd Ru
4 1 1 2
direct
0.121 0.121 0.121
0.372 0.372 0.372
0.628 0.628 0.628
0.879 0.879 0.879
0.500 0.500 0.500
0.000 0.000 0.000
0.250 0.250 0.250
0.750 0.750 0.750
```

Tm4HgPd2Ru | GGA-PBE | optimized geometry

Values from the calculation:
SG   No. 166
Total moment   0.0 μB/cell
VASP energy   -43.54 eV per cell

Structure (POSCAR):
```
Tm4HgPd2Ru
1.0
2.463 1.422 8.108
-2.463 1.422 8.108
0.000 -2.844 8.108
Tm Hg Pd Ru
4 1 2 1
direct
0.117 0.117 0.117
0.370 0.370 0.370
0.630 0.630 0.630
0.883 0.883 0.883
0.500 0.500 0.500
0.251 0.251 0.251
0.749 0.749 0.749
0.000 0.000 0.000
```

TmHgPdRu | GGA-PBE | optimized geometry

Values from the calculation:
SG   No. 216
Total moment   0.0 μB/cell
VASP energy   -81.58 eV per cell

Structure (POSCAR):
```
TmHgPdRu
1.0
6.655 0.000 0.000
0.000 6.655 0.000
0.000 0.000 6.655
Tm Hg Pd Ru
4 4 4 4
direct
0.000 0.000 0.000
0.000 0.500 0.500
0.500 0.000 0.500
0.500 0.500 0.000
0.000 0.000 0.500
0.000 0.500 0.000
0.500 0.000 0.000
0.500 0.500 0.500
0.250 0.250 0.250
0.250 0.750 0.750
0.750 0.250 0.750
0.750 0.750 0.250
0.250 0.250 0.750
0.250 0.750 0.250
0.750 0.250 0.250
0.750 0.750 0.750
```

Which value of total moment does entry 2 give?
0.0 μB/cell

The highest VASP energy belongs to which entry?
Tm4HgPd2Ru

Number 1 is which compound?
Tm4HgPdRu2